1.
DFT (PBE-GGA) results for an optimized crystal structure of TaBiPtO6.

Cell lengths 4.9142, 4.9142, 9.8813 Å; angles 90.00, 90.00, 90.00 degrees
Space group P4_2nm (No. 102)
One atom of each set of equivalent atoms:
Ta: 0.0000 0.0000 0.0000 x2
Bi: 0.0000 0.0000 0.3312 x2
Pt: 0.0000 0.0000 0.6602 x2
O: 0.1696 0.1696 0.8302 x4
O: 0.2074 0.2074 0.5094 x4
O: 0.2081 0.2081 0.1360 x4

Results
Uncorrected formation energy ... -1.54 eV per atom
Total DFT energy (no corrections) ... -7.262 eV per atom



2.
DFT (PBE-GGA) results for an optimized crystal structure of TbBiPtO6.

Cell lengths 5.5473, 5.5473, 9.3598 Å; angles 90.00, 90.00, 120.00 degrees
Space group P-31c (No. 163)
One atom of each set of equivalent atoms:
Tb: 0.3333 0.6667 0.2500 x2
Bi: 0.0000 0.0000 0.0000 x2
Pt: 0.3333 0.6667 0.7500 x2
O: 0.0337 0.3647 0.6286 x12

Results
Uncorrected formation energy ... -1.40 eV per atom
Total DFT energy (no corrections) ... -6.324 eV per atom



3.
DFT (PBE-GGA) results for an optimized crystal structure of BiTePtO6.

Cell lengths 5.4106, 5.4106, 10.0675 Å; angles 90.00, 90.00, 120.00 degrees
Space group P-31c (No. 163)
One atom of each set of equivalent atoms:
Bi: 0.0000 0.0000 0.0000 x2
Te: 0.3333 0.6667 0.2500 x2
Pt: 0.3333 0.6667 0.7500 x2
O: 0.0011 0.3619 0.6396 x12

Results
Uncorrected formation energy ... -0.87 eV per atom
Total DFT energy (no corrections) ... -5.630 eV per atom